First-principles (PBE with a Hubbard U) data for an optimized crystal structure of ZnMoOF2, as listed in Alexandria via LeMat-Bulk.

Polymorph energy (0 for the lowest one): 13.8 kJ/mol of atoms
Space group: P4/mmm
Magnetic moment: 4.00 μB/cell

Unit cell a=3.8951 b=3.8951 c=4.2865 alpha=90.00 beta=90.00 gamma=90.00
Last column: nearest neighbours and their distance in Å.
Positions (direct):
Zn1 0.0000 0.0000 0.0000  4 F 1.95, 2 O 2.14
Mo1 0.5000 0.5000 0.5000  4 O 2.75, 8 F 2.90
O1 0.0000 0.0000 0.5000  2 Zn 2.14
F1 0.0000 0.5000 0.0000  2 Zn 1.95
F2 0.5000 0.0000 0.0000  2 Zn 1.95

First-principles (PBE with a Hubbard U) data for an optimized crystal structure of ZnMoOF2, as listed in Alexandria via LeMat-Bulk.

Polymorph energy (0 for the lowest one): 0.0 kJ/mol of atoms
Space group: P4/mmm
Magnetic moment: 2.08 μB/cell

Unit cell a=4.2750 b=4.2750 c=4.0681 alpha=90.00 beta=90.00 gamma=90.00
Last column: nearest neighbours and their distance in Å.
Positions (direct):
Zn1 0.0000 0.0000 0.0000  8 F 2.95, 4 O 3.02
Mo1 0.5000 0.5000 0.5000  2 O 2.03, 4 F 2.14
O1 0.5000 0.5000 0.0000  2 Mo 2.03
F1 0.0000 0.5000 0.5000  2 Mo 2.14
F2 0.5000 0.0000 0.5000  2 Mo 2.14

First-principles (PBE with a Hubbard U) data for an optimized crystal structure of ZrMoO2F, as listed in Alexandria via LeMat-Bulk.

Space group: P4/mmm
Energy: -6.6926 eV per atom
Magnetic moment: 4.97 μB/cell

Unit cell a=4.1928 b=4.1928 c=4.0936 alpha=90.00 beta=90.00 gamma=90.00
Last column: nearest neighbours and their distance in Å.
Positions (direct):
Zr1 0.0000 0.0000 0.0000  8 O 2.93, 4 F 2.96
Mo1 0.5000 0.5000 0.5000  2 F 2.05, 4 O 2.10
O1 0.0000 0.5000 0.5000  2 Mo 2.10
O2 0.5000 0.0000 0.5000  2 Mo 2.10
F1 0.5000 0.5000 0.0000  2 Mo 2.05

First-principles (PBE with a Hubbard U) data for an optimized crystal structure of ZrMoO2F, as listed in Alexandria via LeMat-Bulk.

Space group: P4/mmm
Energy: -7.4629 eV per atom
Magnetic moment: 5.00 μB/cell

Unit cell a=4.1758 b=4.1758 c=4.3055 alpha=90.00 beta=90.00 gamma=90.00
Last column: nearest neighbours and their distance in Å.
Positions (direct):
Zr1 0.0000 0.0000 0.0000  4 O 2.09, 2 F 2.15
Mo1 0.5000 0.5000 0.5000  4 F 2.95, 8 O 3.00
O1 0.0000 0.5000 0.0000  2 Zr 2.09
O2 0.5000 0.0000 0.0000  2 Zr 2.09
F1 0.0000 0.0000 0.5000  2 Zr 2.15

First-principles (PBE with a Hubbard U) data for an optimized crystal structure of MoOsF3, as listed in Alexandria via LeMat-Bulk.

Polymorph energy (0 for the lowest one): 8.8 kJ/mol of atoms
Space group: Pm-3m
Magnetic moment: 5.54 μB/cell

Unit cell a=4.2521 b=4.2521 c=4.2521 alpha=90.00 beta=90.00 gamma=90.00
Last column: nearest neighbours and their distance in Å.
Positions (direct):
Mo1 0.0000 0.0000 0.0000  12 F 3.01
Os1 0.5000 0.5000 0.5000  6 F 2.13
F1 0.0000 0.5000 0.5000  2 Os 2.13
F2 0.5000 0.0000 0.5000  2 Os 2.13
F3 0.5000 0.5000 0.0000  2 Os 2.13

First-principles (PBE with a Hubbard U) data for an optimized crystal structure of MoOs2F, as listed in Alexandria via LeMat-Bulk.

Polymorph energy (0 for the lowest one): 11.6 kJ/mol of atoms
Space group: I-42d
Magnetic moment: 0.00 μB/cell

Unit cell a=5.4245 b=5.4245 c=5.4245 alpha=102.97 beta=102.97 gamma=123.43
Last column: nearest neighbours and their distance in Å.
Positions (direct):
Mo1 0.0000 0.0000 0.0000  2 F 2.57, 4 Os 2.57
Mo2 0.7500 0.2500 0.5000  2 F 2.57, 4 Os 2.57
Os1 0.1465 0.6250 0.0215  2 F 2.38, 2 Mo 2.57, 2 Os 2.59
Os2 0.3750 0.3965 0.5215  2 F 2.38, 2 Mo 2.57, 2 Os 2.59
Os3 0.6035 0.1250 0.9785  2 F 2.38, 2 Mo 2.57, 2 Os 2.59
Os4 0.8750 0.8535 0.4785  2 F 2.38, 2 Mo 2.57, 2 Os 2.59
F1 0.2500 0.7500 0.5000  4 Os 2.38, 2 Mo 2.57
F2 0.5000 0.5000 0.0000  4 Os 2.38, 2 Mo 2.57

First-principles (PBE with a Hubbard U) data for an optimized crystal structure of MoOs2F, as listed in Alexandria via LeMat-Bulk.

Polymorph energy (0 for the lowest one): 0.0 kJ/mol of atoms
Space group: Fm-3m
Magnetic moment: 0.00 μB/cell

Unit cell a=4.3263 b=4.3263 c=4.3263 alpha=60.00 beta=60.00 gamma=60.00
Last column: nearest neighbours and their distance in Å.
Positions (direct):
Mo1 0.0000 0.0000 0.0000  8 Os 2.65
Os1 0.2500 0.2500 0.2500  4 F 2.65, 4 Mo 2.65
Os2 0.7500 0.7500 0.7500  4 Mo 2.65, 4 F 2.65
F1 0.5000 0.5000 0.5000  8 Os 2.65

First-principles (PBE with a Hubbard U) data for an optimized crystal structure of MoOsF3, as listed in Alexandria via LeMat-Bulk.

Polymorph energy (0 for the lowest one): 0.0 kJ/mol of atoms
Space group: Pm-3m
Magnetic moment: 7.00 μB/cell

Unit cell a=4.3284 b=4.3284 c=4.3284 alpha=90.00 beta=90.00 gamma=90.00
Last column: nearest neighbours and their distance in Å.
Positions (direct):
Mo1 0.0000 0.0000 0.0000  6 F 2.16
Os1 0.5000 0.5000 0.5000  12 F 3.06
F1 0.0000 0.0000 0.5000  2 Mo 2.16
F2 0.0000 0.5000 0.0000  2 Mo 2.16
F3 0.5000 0.0000 0.0000  2 Mo 2.16